# Hf2Te6Rh PBE relaxed
# crystal system	monoclinic
# raw formation energy	-538	meV per atom
data_Hf2Te6Rh
_chemical_formula_sum 'Hf4 Te12 Rh2'
_cell_length_a 7.071
_cell_length_b 7.201
_cell_length_c 11.257
_cell_angle_alpha 90.00
_cell_angle_beta 124.93
_cell_angle_gamma 90.00
_symmetry_space_group_name_H-M 'P 1 21/c 1'
_symmetry_Int_Tables_number 14
loop_
_symmetry_equiv_pos_as_xyz
'x,y,z'
'-x,-y,-z'
'-x,y+1/2,-z+1/2'
'x,-y+1/2,z+1/2'
loop_
_atom_site_label
_atom_site_type_symbol
_atom_site_fract_x
_atom_site_fract_y
_atom_site_fract_z
_atom_site_occupancy
Hf1 Hf 0.222 0.147 0.248 1
Te1 Te 0.093 0.169 0.931 1
Te2 Te 0.274 0.670 0.933 1
Te3 Te 0.409 0.000 0.759 1
Rh1 Rh 0.000 0.000 0.500 1